Model w:
# Nd6SmTl3 (PBE, optimized geometry)
data_Nd6SmTl3
_space_group_name_H-M_alt 'P 1'
_space_group_IT_number 1
_cell_length_a 5.291
_cell_length_b 10.522
_cell_length_c 11.542
_cell_angle_alpha 97.57
_cell_angle_beta 90.00
_cell_angle_gamma 90.00
loop_
_space_group_symop_operation_xyz
'x,y,z'
loop_
_atom_site_label
_atom_site_type_symbol
_atom_site_fract_x
_atom_site_fract_y
_atom_site_fract_z
Nd1 Nd 0.250 0.273 0.518
Nd2 Nd 0.250 0.636 0.692
Nd3 Nd 0.250 0.455 0.096
Nd4 Nd 0.750 0.176 0.719
Nd5 Nd 0.250 0.064 0.909
Nd6 Nd 0.750 0.858 0.775
Nd7 Nd 0.750 0.364 0.308
Nd8 Nd 0.750 0.727 0.482
Nd9 Nd 0.750 0.936 0.091
Nd10 Nd 0.250 0.142 0.225
Nd11 Nd 0.750 0.545 0.904
Nd12 Nd 0.250 0.824 0.281
Tl1 Tl 0.250 0.755 0.975
Tl2 Tl 0.250 0.546 0.392
Tl3 Tl 0.750 0.454 0.608
Tl4 Tl 0.750 0.646 0.188
Tl5 Tl 0.250 0.354 0.812
Tl6 Tl 0.750 0.245 0.025
Sm1 Sm 0.250 0.952 0.592
Sm2 Sm 0.750 0.048 0.408
# Symmetry ... P2_1/m

***

Model x:
# Nd6SmTl3 (PBE, optimized geometry)
data_Nd6SmTl3
_space_group_name_H-M_alt 'P 1'
_space_group_IT_number 1
_cell_length_a 7.922
_cell_length_b 9.595
_cell_length_c 9.595
_cell_angle_alpha 111.68
_cell_angle_beta 90.00
_cell_angle_gamma 90.00
loop_
_space_group_symop_operation_xyz
'x,y,z'
loop_
_atom_site_label
_atom_site_type_symbol
_atom_site_fract_x
_atom_site_fract_y
_atom_site_fract_z
Nd1 Nd 0.105 0.301 0.232
Nd2 Nd 0.791 0.456 0.079
Nd3 Nd 0.291 0.079 0.456
Nd4 Nd 0.292 0.954 0.046
Nd5 Nd 0.135 0.700 0.300
Nd6 Nd 0.792 0.046 0.954
Nd7 Nd 0.635 0.300 0.700
Nd8 Nd 0.791 0.921 0.544
Nd9 Nd 0.291 0.544 0.921
Nd10 Nd 0.605 0.699 0.768
Nd11 Nd 0.605 0.232 0.301
Nd12 Nd 0.105 0.768 0.699
Tl1 Tl 0.432 0.281 0.014
Tl2 Tl 0.432 0.986 0.719
Tl3 Tl 0.932 0.014 0.281
Tl4 Tl 0.317 0.446 0.554
Tl5 Tl 0.932 0.719 0.986
Tl6 Tl 0.817 0.554 0.446
Sm1 Sm 0.586 0.797 0.203
Sm2 Sm 0.086 0.203 0.797
# Symmetry ... Cmc2_1

***

Relative calculated energies, zero for the most stable structure, unit kJ/mol of atoms: model w 0.0; model x 9.2.